Material: Dy4Tl3Ag
Method: DFT, PBE-GGA
State: relaxed

The structure in CIF format:
```
data_Dy4Tl3Ag
_cell_length_a 3.6247
_cell_length_b 3.6247
_cell_length_c 16.1239
_cell_angle_alpha 90.00
_cell_angle_beta 90.00
_cell_angle_gamma 90.00
_symmetry_space_group_name_H-M 'P 4/m m m'
_symmetry_Int_Tables_number 123
_symmetry_space_group_name_Hall '-P 4 2'
loop_
_atom_site_label
_atom_site_type_symbol
_atom_site_fract_x
_atom_site_fract_y
_atom_site_fract_z
Dy1 Dy 0.0000 0.0000 0.1127
Dy2 Dy 0.0000 0.0000 0.3701
Tl1 Tl 0.5000 0.5000 0.2407
Tl2 Tl 0.5000 0.5000 0.5000
Ag1 Ag 0.5000 0.5000 0.0000
```

* energy: -31.07 eV per cell
* energy above the lowest structure with this stoichiometry: 0.0 kJ per mole of atoms

Material: DyTl2Ag
Method: DFT, PBE-GGA
State: relaxed

The structure in CIF format:
```
data_DyTl2Ag
_cell_length_a 4.8072
_cell_length_b 4.8072
_cell_length_c 4.2823
_cell_angle_alpha 90.00
_cell_angle_beta 90.00
_cell_angle_gamma 90.00
_symmetry_space_group_name_H-M 'P 4/m m m'
_symmetry_Int_Tables_number 123
_symmetry_space_group_name_Hall '-P 4 2'
loop_
_atom_site_label
_atom_site_type_symbol
_atom_site_fract_x
_atom_site_fract_y
_atom_site_fract_z
Dy1 Dy 0.0000 0.0000 0.0000
Tl1 Tl 0.0000 0.5000 0.5000
Ag1 Ag 0.5000 0.5000 0.0000
```

* energy: -12.95 eV per cell

Material: Dy5Tl6Ag
Method: DFT, PBE-GGA
State: relaxed

The structure in CIF format:
```
data_Dy5Tl6Ag
_cell_length_a 5.2087
_cell_length_b 7.6203
_cell_length_c 16.1143
_cell_angle_alpha 90.00
_cell_angle_beta 90.00
_cell_angle_gamma 90.00
_symmetry_space_group_name_H-M 'I m m m'
_symmetry_Int_Tables_number 71
_symmetry_space_group_name_Hall '-I 2 2'
loop_
_atom_site_label
_atom_site_type_symbol
_atom_site_fract_x
_atom_site_fract_y
_atom_site_fract_z
Dy1 Dy 0.0000 0.0000 0.0000
Dy2 Dy 0.0000 0.0000 0.3488
Dy3 Dy 0.0000 0.5000 0.3273
Tl1 Tl 0.0000 0.2490 0.1652
Tl2 Tl 0.0000 0.2555 0.5000
Ag1 Ag 0.0000 0.5000 0.0000
```

* energy: -86.69 eV per cell

Material: Dy12Tl3Ag
Method: DFT, PBE-GGA
State: relaxed

The structure in CIF format:
```
data_Dy12Tl3Ag
_cell_length_a 4.8465
_cell_length_b 4.8465
_cell_length_c 19.1866
_cell_angle_alpha 90.00
_cell_angle_beta 90.00
_cell_angle_gamma 90.00
_symmetry_space_group_name_H-M 'P 4/m m m'
_symmetry_Int_Tables_number 123
_symmetry_space_group_name_Hall '-P 4 2'
loop_
_atom_site_label
_atom_site_type_symbol
_atom_site_fract_x
_atom_site_fract_y
_atom_site_fract_z
Dy1 Dy 0.0000 0.0000 0.0000
Dy2 Dy 0.0000 0.0000 0.2457
Dy3 Dy 0.0000 0.0000 0.5000
Dy4 Dy 0.0000 0.5000 0.1199
Dy5 Dy 0.0000 0.5000 0.3737
Tl1 Tl 0.5000 0.5000 0.2477
Tl2 Tl 0.5000 0.5000 0.5000
Ag1 Ag 0.5000 0.5000 0.0000
```

* energy: -67.26 eV per cell

Material: DyTl2Ag
Method: DFT, PBE-GGA
State: relaxed

The structure in CIF format:
```
data_DyTl2Ag
_cell_length_a 4.7550
_cell_length_b 4.7550
_cell_length_c 17.4150
_cell_angle_alpha 90.00
_cell_angle_beta 90.00
_cell_angle_gamma 90.00
_symmetry_space_group_name_H-M 'I 4/m m m'
_symmetry_Int_Tables_number 139
_symmetry_space_group_name_Hall '-I 4 2'
loop_
_atom_site_label
_atom_site_type_symbol
_atom_site_fract_x
_atom_site_fract_y
_atom_site_fract_z
Dy1 Dy 0.0000 0.0000 0.1314
Tl1 Tl 0.0000 0.0000 0.3544
Tl2 Tl 0.0000 0.5000 0.0000
Ag1 Ag 0.0000 0.5000 0.2500
```

* energy: -52.36 eV per cell

Material: Dy5Tl2Ag2
Method: DFT, PBE-GGA
State: relaxed

The structure in CIF format:
```
data_Dy5Tl2Ag2
_cell_length_a 15.7532
_cell_length_b 8.6706
_cell_length_c 7.3096
_cell_angle_alpha 90.00
_cell_angle_beta 90.00
_cell_angle_gamma 90.00
_symmetry_space_group_name_H-M 'C m c e'
_symmetry_Int_Tables_number 64
_symmetry_space_group_name_Hall '-C 2ac 2'
loop_
_atom_site_label
_atom_site_type_symbol
_atom_site_fract_x
_atom_site_fract_y
_atom_site_fract_z
Dy1 Dy 0.0000 0.0000 0.0000
Dy2 Dy 0.1326 0.1838 0.3450
Tl1 Tl 0.2096 0.0000 0.0000
Ag1 Ag 0.0000 0.1268 0.6278
```

* energy: -142.33 eV per cell

Material: Dy8Tl2Ag
Method: DFT, PBE-GGA
State: relaxed

The structure in CIF format:
```
data_Dy8Tl2Ag
_cell_length_a 18.6606
_cell_length_b 5.1657
_cell_length_c 6.7942
_cell_angle_alpha 90.00
_cell_angle_beta 101.04
_cell_angle_gamma 90.00
_symmetry_space_group_name_H-M 'C 1 2/m 1'
_symmetry_Int_Tables_number 12
loop_
_symmetry_equiv_pos_as_xyz
'x,y,z'
'-x,-y,-z'
'-x,y,-z'
'x,-y,z'
'x+1/2,y+1/2,z'
'-x+1/2,-y+1/2,-z'
'-x+1/2,y+1/2,-z'
'x+1/2,-y+1/2,z'
loop_
_atom_site_label
_atom_site_type_symbol
_atom_site_fract_x
_atom_site_fract_y
_atom_site_fract_z
Dy1 Dy 0.0166 0.0000 0.2645
Dy2 Dy 0.0911 0.5000 0.9663
Dy3 Dy 0.1539 0.5000 0.4803
Dy4 Dy 0.2035 0.0000 0.8092
Tl1 Tl 0.1878 0.0000 0.2540
Ag1 Ag 0.0000 0.5000 0.5000
```

* energy: -91.81 eV per cell

Material: Dy2TmTl2Ag2
Method: DFT, PBE-GGA
State: relaxed

The structure in CIF format:
```
data_Dy2TmTl2Ag2
_cell_length_a 4.8538
_cell_length_b 4.8538
_cell_length_c 26.8516
_cell_angle_alpha 90.00
_cell_angle_beta 90.00
_cell_angle_gamma 120.00
_symmetry_space_group_name_H-M 'R -3 m'
_symmetry_Int_Tables_number 166
_symmetry_space_group_name_Hall '-R 3 2"'
loop_
_atom_site_label
_atom_site_type_symbol
_atom_site_fract_x
_atom_site_fract_y
_atom_site_fract_z
Dy1 Dy 0.0000 0.0000 0.1246
Tm1 Tm 0.0000 0.0000 0.0000
Tl1 Tl 0.0000 0.0000 0.2583
Ag1 Ag 0.0000 0.0000 0.3907
```

* energy: -75.44 eV per cell

Material: DyYTlAg
Method: DFT, PBE-GGA
State: relaxed

The structure in CIF format:
```
data_DyYTlAg
_cell_length_a 7.4500
_cell_length_b 7.4500
_cell_length_c 7.4500
_cell_angle_alpha 90.00
_cell_angle_beta 90.00
_cell_angle_gamma 90.00
_symmetry_space_group_name_H-M 'F -4 3 m'
_symmetry_Int_Tables_number 216
_symmetry_space_group_name_Hall 'F -4 2 3'
loop_
_atom_site_label
_atom_site_type_symbol
_atom_site_fract_x
_atom_site_fract_y
_atom_site_fract_z
Dy1 Dy 0.0000 0.0000 0.0000
Y1 Y 0.0000 0.0000 0.5000
Tl1 Tl 0.2500 0.2500 0.2500
Ag1 Ag 0.2500 0.2500 0.7500
```

* energy: -70.79 eV per cell

Material: DyY2Tl2Ag2
Method: DFT, PBE-GGA
State: relaxed

The structure in CIF format:
```
data_DyY2Tl2Ag2
_cell_length_a 4.8696
_cell_length_b 4.8696
_cell_length_c 27.0615
_cell_angle_alpha 90.00
_cell_angle_beta 90.00
_cell_angle_gamma 120.00
_symmetry_space_group_name_H-M 'R -3 m'
_symmetry_Int_Tables_number 166
_symmetry_space_group_name_Hall '-R 3 2"'
loop_
_atom_site_label
_atom_site_type_symbol
_atom_site_fract_x
_atom_site_fract_y
_atom_site_fract_z
Dy1 Dy 0.0000 0.0000 0.0000
Y1 Y 0.0000 0.0000 0.1249
Tl1 Tl 0.0000 0.0000 0.2582
Ag1 Ag 0.0000 0.0000 0.3937
```

* energy: -87.62 eV per cell

Material: Dy3Tm2Ag3
Method: DFT, PBE-GGA
State: relaxed

The structure in CIF format:
```
data_Dy3Tm2Ag3
_cell_length_a 3.6321
_cell_length_b 5.2461
_cell_length_c 21.4578
_cell_angle_alpha 90.00
_cell_angle_beta 90.00
_cell_angle_gamma 90.00
_symmetry_space_group_name_H-M 'I m m m'
_symmetry_Int_Tables_number 71
_symmetry_space_group_name_Hall '-I 2 2'
loop_
_atom_site_label
_atom_site_type_symbol
_atom_site_fract_x
_atom_site_fract_y
_atom_site_fract_z
Dy1 Dy 0.0000 0.0000 0.0000
Dy2 Dy 0.0000 0.5000 0.1214
Tm1 Tm 0.0000 0.0000 0.2317
Ag1 Ag 0.0000 0.0000 0.5000
Ag2 Ag 0.0000 0.5000 0.3815
```

* energy: -66.25 eV per cell

Material: DyTm2Ag6
Method: DFT, PBE-GGA
State: relaxed

The structure in CIF format:
```
data_DyTm2Ag6
_cell_length_a 13.9693
_cell_length_b 10.7871
_cell_length_c 5.2744
_cell_angle_alpha 90.00
_cell_angle_beta 100.54
_cell_angle_gamma 90.00
_symmetry_space_group_name_H-M 'C 1 2/c 1'
_symmetry_Int_Tables_number 15
loop_
_symmetry_equiv_pos_as_xyz
'x,y,z'
'-x,-y,-z'
'-x,y,-z+1/2'
'x,-y,z+1/2'
'x+1/2,y+1/2,z'
'-x+1/2,-y+1/2,-z'
'-x+1/2,y+1/2,-z+1/2'
'x+1/2,-y+1/2,z+1/2'
loop_
_atom_site_label
_atom_site_type_symbol
_atom_site_fract_x
_atom_site_fract_y
_atom_site_fract_z
Dy1 Dy 0.0000 0.1255 0.2500
Tm1 Tm 0.1668 0.3753 0.0845
Ag1 Ag 0.0554 0.3770 0.5276
Ag2 Ag 0.1123 0.1272 0.8071
Ag3 Ag 0.2240 0.1252 0.3590
```

* energy: -130.48 eV per cell

Which value of energy does entry 4 give?
-67.26 eV per cell

Which value of energy does entry 12 give?
-130.48 eV per cell

Among the records above, which one has the lowest energy?
Dy5Tl2Ag2